Pm12SmRu7 after structural relaxation. Source: the Alexandria database, functional PBE-GGA.

- Energy of formation from the pure elements: -0.099 eV/atom
- Symmetry: No. 148
- ρ: 7.5 g cm⁻³

a b c (Å): 8.803 8.803 8.803
angles (deg): 106.31 106.31 106.31
Positions (direct):
Pm 0.055 0.347 0.117
Pm 0.117 0.055 0.347
Pm 0.217 0.755 0.581
Pm 0.245 0.419 0.783
Pm 0.347 0.117 0.055
Pm 0.419 0.783 0.245
Pm 0.581 0.217 0.755
Pm 0.653 0.883 0.945
Pm 0.755 0.581 0.217
Pm 0.783 0.245 0.419
Pm 0.883 0.945 0.653
Pm 0.945 0.653 0.883
Sm 0.500 0.500 0.500
Ru 0.000 0.000 0.000
Ru 0.113 0.400 0.457
Ru 0.400 0.457 0.113
Ru 0.457 0.113 0.400
Ru 0.543 0.887 0.600
Ru 0.600 0.543 0.887
Ru 0.887 0.600 0.543